[1]
Density functional theory data (GGA-PBE) for crystalline Na3Tb2BiTe6 at its relaxed geometry.

Cell lengths 7.752, 7.752, 8.001 Å; angles 99.29, 99.29, 120.02 degrees
Element x y z (fractional)
Na  0.500  0.500  0.500
Bi  0.000  0.000  0.000
Te  0.922  0.585  0.765
Te  0.585  0.922  0.765
Te  0.415  0.078  0.235
Tb  0.667  0.333  0.000
Te  0.740  0.740  0.232
Te  0.078  0.415  0.235
Te  0.260  0.260  0.768
Na  0.839  0.161  0.500
Na  0.161  0.839  0.500
Tb  0.333  0.667  0.000

Values from the calculation:
DOS at the Fermi energy: 0.0 states/eV/cell
Formation energy from raw total energies: -102.0 kJ per mole of atoms
SG: C2/m, No. 12

[2]
Density functional theory data (GGA-PBE) for crystalline Na4Tb3BiTe8 at its relaxed geometry.

Cell lengths 8.932, 9.167, 8.932 Å; angles 119.18, 120.00, 90.00 degrees
Element x y z (fractional)
Tb  0.500  0.500  0.000
Tb  0.500  0.500  0.500
Te  0.754  0.266  0.012
Na  0.000  0.000  0.500
Te  0.259  0.266  0.012
Na  0.500  0.000  0.500
Te  0.754  0.266  0.507
Na  0.000  0.000  0.000
Bi  0.000  0.500  0.000
Te  0.744  0.732  0.488
Te  0.246  0.734  0.493
Te  0.741  0.734  0.988
Te  0.246  0.734  0.988
Na  0.500  0.000  0.000
Tb  0.000  0.500  0.500
Te  0.256  0.268  0.512

Values from the calculation:
DOS at the Fermi energy: 0.0 states/eV/cell
Formation energy from raw total energies: -108.3 kJ per mole of atoms
SG: R-3m, No. 166